No. 1
NaYOs3: relaxed, GGA-PBEsol.

Values from the calculation:
Total magnetic moment, μB/atom: 0.217
Offset from the most stable computed form, kcal/mol of atoms: 0.00
Calculated formation energy, meV/atom: 2329
Density of states at the Fermi level, states/eV/f.u.: 8.869

Cell: 4.5036 4.5036 4.5036 Å, 90.00 90.00 90.00°
Closest atoms and distances in Å follow each position.
Element x y z (fractional)
Na 0.0000 0.0000 0.0000  6 Os 2.25
Y 0.5000 0.5000 0.5000  12 Os 3.18
Os 0.0000 0.0000 0.5000  2 Na 2.25
Os 0.0000 0.5000 0.0000  2 Na 2.25
Os 0.5000 0.0000 0.0000  2 Na 2.25



No. 2
BW2N: relaxed, GGA-PBEsol.

Values from the calculation:
Total magnetic moment, μB/atom: 0.000
Formation energy from raw total energies, meV/atom: 312
Density of states at the Fermi level, states/eV/f.u.: 0.815

Cell: 5.4716 5.4716 5.4716 Å, 90.00 90.00 90.00°
Closest atoms and distances in Å follow each position.
Element x y z (fractional)
B 0.0000 0.0000 0.0000  8 W 2.37
B 0.0000 0.5000 0.5000  8 W 2.37
B 0.5000 0.0000 0.5000  8 W 2.37
B 0.5000 0.5000 0.0000  8 W 2.37
W 0.2500 0.2500 0.2500  4 B 2.37, 4 N 2.37
W 0.2500 0.2500 0.7500  4 B 2.37, 4 N 2.37
W 0.2500 0.7500 0.2500  4 B 2.37, 4 N 2.37
W 0.2500 0.7500 0.7500  4 B 2.37, 4 N 2.37
W 0.7500 0.2500 0.2500  4 B 2.37, 4 N 2.37
W 0.7500 0.2500 0.7500  4 B 2.37, 4 N 2.37
W 0.7500 0.7500 0.2500  4 B 2.37, 4 N 2.37
W 0.7500 0.7500 0.7500  4 B 2.37, 4 N 2.37
N 0.0000 0.0000 0.5000  8 W 2.37
N 0.0000 0.5000 0.0000  8 W 2.37
N 0.5000 0.0000 0.0000  8 W 2.37
N 0.5000 0.5000 0.5000  8 W 2.37



No. 3
Zr2TcPt: relaxed, GGA-PBEsol.

Values from the calculation:
Total magnetic moment, μB/atom: 0.003
Calculated formation energy, meV/atom: -288
Density of states at the Fermi level, states/eV/f.u.: 6.094

Cell: 6.4858 6.4858 6.4858 Å, 90.00 90.00 90.00°
Closest atoms and distances in Å follow each position.
Element x y z (fractional)
Zr 0.0000 0.0000 0.0000  4 Tc 2.81, 4 Zr 2.81
Zr 0.0000 0.5000 0.5000  4 Tc 2.81, 4 Zr 2.81
Zr 0.2500 0.2500 0.2500  4 Zr 2.81, 4 Pt 2.81
Zr 0.2500 0.7500 0.7500  4 Zr 2.81, 4 Pt 2.81
Zr 0.5000 0.0000 0.5000  4 Tc 2.81, 4 Zr 2.81
Zr 0.5000 0.5000 0.0000  4 Tc 2.81, 4 Zr 2.81
Zr 0.7500 0.2500 0.7500  4 Zr 2.81, 4 Pt 2.81
Zr 0.7500 0.7500 0.2500  4 Zr 2.81, 4 Pt 2.81
Tc 0.2500 0.2500 0.7500  4 Pt 2.81, 4 Zr 2.81
Tc 0.2500 0.7500 0.2500  4 Pt 2.81, 4 Zr 2.81
Tc 0.7500 0.2500 0.2500  4 Pt 2.81, 4 Zr 2.81
Tc 0.7500 0.7500 0.7500  4 Pt 2.81, 4 Zr 2.81
Pt 0.0000 0.0000 0.5000  4 Zr 2.81, 4 Tc 2.81
Pt 0.0000 0.5000 0.0000  4 Zr 2.81, 4 Tc 2.81
Pt 0.5000 0.0000 0.0000  4 Zr 2.81, 4 Tc 2.81
Pt 0.5000 0.5000 0.5000  4 Zr 2.81, 4 Tc 2.81



No. 4
PRu3: relaxed, GGA-PBEsol.

Values from the calculation:
Total magnetic moment, μB/atom: 0.000
Offset from the most stable computed form, kcal/mol of atoms: 2.70
Calculated formation energy, meV/atom: -85
Density of states at the Fermi level, states/eV/f.u.: 3.679

Cell: 2.7355 2.7355 23.8957 Å, 90.00 90.00 120.00°
Closest atoms and distances in Å follow each position.
Element x y z (fractional)
P 0.0000 0.0000 0.0000  6 Ru 2.40
P 0.3333 0.6667 0.6667  6 Ru 2.40
P 0.6667 0.3333 0.3333  6 Ru 2.40
Ru 0.0000 0.0000 0.2577  3 P 2.40
Ru 0.0000 0.0000 0.5000  12 Ru 2.69-2.74
Ru 0.0000 0.0000 0.7423  3 P 2.40
Ru 0.3333 0.6667 0.1667  12 Ru 2.69-2.74
Ru 0.3333 0.6667 0.4089  3 P 2.40
Ru 0.3333 0.6667 0.9244  3 P 2.40
Ru 0.6667 0.3333 0.0756  3 P 2.40
Ru 0.6667 0.3333 0.5911  3 P 2.40
Ru 0.6667 0.3333 0.8333  12 Ru 2.69-2.74